1.
Crystalline Ga2PdRu at its relaxed geometry. Source: Alexandria via LeMat-Bulk, functional PBE-GGA.

* DOS at the Fermi energy: 0.160 states/eV/atom
* energy of formation from the pure elements: 1.69 eV per formula unit

Cell: 5.6152 5.6152 6.8301 Å, 65.73 65.73 90.00°
Last column: nearest neighbours and their distance in Å.
Element x y z (fractional)
Pd (0.7500, 0.2500, 0.5000)  4 Ga 2.45
Ga (0.3750, 0.3842, 0.7500)  2 Ru 2.39, 2 Pd 2.45
Ga (0.8750, 0.8658, 0.7500)  2 Ru 2.39, 2 Pd 2.45
Ga (0.1342, 0.6250, 0.2500)  2 Ru 2.39, 2 Pd 2.45
Ru (0.5000, 0.5000, 0.0000)  4 Ga 2.39
Ru (0.2500, 0.7500, 0.5000)  4 Ga 2.39
Ga (0.6158, 0.1250, 0.2500)  2 Ru 2.39, 2 Pd 2.45
Pd (0.0000, 0.0000, 0.0000)  4 Ga 2.45

---

2.
Crystalline Tb6PrEr2Th3 at its relaxed geometry. Source: Alexandria via LeMat-Bulk, functional PBE-GGA.

* DOS at the Fermi energy: 1.486 states/eV/atom
* energy of formation from the pure elements: 0.28 eV per formula unit

Cell: 6.1912 6.1912 11.7927 Å, 95.03 95.03 119.99°
Last column: nearest neighbours and their distance in Å.
Element x y z (fractional)
Tb (0.0851, 0.4193, 0.2547)  3 Th 3.52, 6 Tb 3.57-3.59, 2 Er 3.60, 1 Pr 3.61
Th (0.1664, 0.8336, 0.5000)  6 Tb 3.52, 6 Th 3.57-3.58
Tb (0.4193, 0.0851, 0.2547)  3 Th 3.52, 6 Tb 3.57-3.59, 2 Er 3.60, 1 Pr 3.61
Th (0.8336, 0.1664, 0.5000)  6 Tb 3.52, 6 Th 3.57-3.58
Er (0.3332, 0.6668, 0.0000)  3 Pr 3.57-3.58, 3 Er 3.57-3.58, 6 Tb 3.60
Tb (0.5807, 0.9149, 0.7453)  3 Th 3.52, 6 Tb 3.57-3.59, 2 Er 3.60, 1 Pr 3.61
Tb (0.7508, 0.7508, 0.2547)  3 Th 3.51-3.52, 6 Tb 3.57-3.59, 2 Er 3.60, 1 Pr 3.61
Er (0.6668, 0.3332, 0.0000)  3 Pr 3.57-3.58, 3 Er 3.57-3.58, 6 Tb 3.60
Tb (0.9149, 0.5807, 0.7453)  3 Th 3.52, 6 Tb 3.57-3.59, 2 Er 3.60, 1 Pr 3.61
Th (0.5000, 0.5000, 0.5000)  6 Tb 3.51-3.52, 6 Th 3.57-3.58
Tb (0.2492, 0.2492, 0.7453)  3 Th 3.51-3.52, 6 Tb 3.57-3.59, 2 Er 3.60, 1 Pr 3.61
Pr (0.0000, 0.0000, 0.0000)  6 Er 3.57-3.58, 6 Tb 3.61

---

DOS at the Fermi energy of number 2 (Tb6PrEr2Th3)?
1.486 states/eV/atom

---

Please write out number 1 again, unchanged.
Crystalline Ga2PdRu at its relaxed geometry. Source: Alexandria via LeMat-Bulk, functional PBE-GGA.

* DOS at the Fermi energy: 0.160 states/eV/atom
* energy of formation from the pure elements: 1.69 eV per formula unit

Cell: 5.6152 5.6152 6.8301 Å, 65.73 65.73 90.00°
Last column: nearest neighbours and their distance in Å.
Element x y z (fractional)
Pd (0.7500, 0.2500, 0.5000)  4 Ga 2.45
Ga (0.3750, 0.3842, 0.7500)  2 Ru 2.39, 2 Pd 2.45
Ga (0.8750, 0.8658, 0.7500)  2 Ru 2.39, 2 Pd 2.45
Ga (0.1342, 0.6250, 0.2500)  2 Ru 2.39, 2 Pd 2.45
Ru (0.5000, 0.5000, 0.0000)  4 Ga 2.39
Ru (0.2500, 0.7500, 0.5000)  4 Ga 2.39
Ga (0.6158, 0.1250, 0.2500)  2 Ru 2.39, 2 Pd 2.45
Pd (0.0000, 0.0000, 0.0000)  4 Ga 2.45